Record 1
## Na2CaAgF (PBE-GGA)

Data for a relaxed Na2CaAgF crystal.

a = 4.799 Å, b = 4.799 Å, c = 4.814 Å
α = 90.00°, β = 90.00°, γ = 90.00°
Atoms (fractional coordinates):
1 Na 0.000 0.500 0.000
2 Na 0.500 0.000 0.000
3 Ca 0.000 0.000 0.500
4 Ag 0.500 0.500 0.500
5 F 0.000 0.000 0.000

Summary:
Energy relative to the elements, uncorrected, eV per atom: -1.10
Volume, Å³ per atom: 22.2
Density, g/cm³: 3.19
ΔE to the lowest computed polymorph, eV per atom: 0.000



Record 2
## NaCa2AgF6 (PBE-GGA)

Data for a relaxed NaCa2AgF6 crystal.

a = 5.387 Å, b = 5.387 Å, c = 5.907 Å
α = 90.00°, β = 90.00°, γ = 90.00°
Atoms (fractional coordinates):
1 Na 0.000 0.000 0.000
2 Ca 0.000 0.500 0.403
3 Ca 0.500 0.000 0.403
4 Ag 0.500 0.500 0.954
5 F 0.000 0.000 0.619
6 F 0.248 0.248 0.207
7 F 0.248 0.752 0.207
8 F 0.500 0.500 0.582
9 F 0.752 0.248 0.207
10 F 0.752 0.752 0.207

Summary:
Energy relative to the elements, uncorrected, eV per atom: -2.88
Volume, Å³ per atom: 17.1
Density, g/cm³: 3.15



Record 3
## Na2CaAgF (PBE-GGA)

Data for a relaxed Na2CaAgF crystal.

a = 6.793 Å, b = 6.793 Å, c = 5.541 Å
α = 90.00°, β = 90.00°, γ = 90.00°
Atoms (fractional coordinates):
1 Na 0.000 0.500 0.000
2 Na 0.500 0.000 0.000
3 Ca 0.000 0.000 0.000
4 Ag 0.000 0.000 0.500
5 F 0.500 0.500 0.500

Summary:
Energy relative to the elements, uncorrected, eV per atom: 0.15
Volume, Å³ per atom: 51.1
Density, g/cm³: 1.38
ΔE to the lowest computed polymorph, eV per atom: 1.248